# 1
DFT (PBE) results for a relaxed structure of MgSi2GeW.

a = 4.8063 Å, b = 4.9393 Å, c = 4.8063 Å
α = 90.00°, β = 90.00°, γ = 90.00°
Fractional positions:
W 0.0000 0.0000 0.0000
Mg 0.5000 0.5000 0.5000
Si 0.5000 0.0000 0.0000
Si 0.0000 0.0000 0.5000
Ge 0.0000 0.5000 0.0000

Output
As for the total magnetization: 0.00 μB per formula unit. The symmetry is P4/mmm. As for the uncorrected formation energy: 0.4856 eV per atom. For the energy, the calculation gives -27.58 eV per cell.

***

# 2
DFT (PBE) results for a relaxed structure of MnBeNbFe.

a = 4.0979 Å, b = 4.0979 Å, c = 4.0979 Å
α = 60.00°, β = 60.00°, γ = 60.00°
Each line ends with the local moment (μB).
Fractional positions:
Nb 0.0000 0.0000 0.0000  -0.35
Be 0.5000 0.5000 0.5000  -0.04
Mn 0.7500 0.7500 0.7500  1.51
Fe 0.2500 0.2500 0.2500  0.80

Output
As for the total magnetization: 1.96 μB per formula unit. The symmetry is F-43m. For the energy, the calculation gives -31.54 eV per cell. As for the formation energy: -0.0285 eV/atom.